Compound: SiIrN2O
Source: Alexandria
Functional: GGA-PBEsol
Structure: optimized geometry

Cell lengths 3.764, 3.764, 4.153 Å; angles 90.00, 90.00, 90.00 degrees
Positions (direct):
Ir 0.000 0.000 0.000
O 0.000 0.000 0.500
N 0.000 0.500 0.000
N 0.500 0.000 0.000
Si 0.500 0.500 0.500

Calculated values
mass density	7.46	Mg/m³
raw formation energy	0.787	eV/atom
raw total energy	-6.788	eV per atom

=====

Compound: Ta2Te3
Source: Alexandria
Functional: GGA-PBEsol
Structure: optimized geometry

Cell lengths 3.447, 7.481, 10.347 Å; angles 84.66, 80.41, 76.68 degrees
Positions (direct):
Te 0.812 0.661 0.714
Ta 0.771 0.069 0.389
Te 0.105 0.763 0.028
Te 0.188 0.339 0.286
Ta 0.417 0.022 0.145
Te 0.433 0.773 0.362
Ta 0.229 0.931 0.611
Te 0.895 0.237 0.972
Ta 0.583 0.978 0.855
Te 0.567 0.227 0.638

Calculated values
mass density	9.68	Mg/m³
raw formation energy	-0.365	eV/atom
raw total energy	-7.501	eV per atom

=====

Compound: TaCo2Ru
Source: Alexandria
Functional: GGA-PBEsol
Structure: optimized geometry

Cell lengths 3.663, 3.693, 3.693 Å; angles 90.00, 90.00, 90.00 degrees
Positions (direct):
Ta 0.500 0.000 0.000
Ru 0.500 0.500 0.500
Co 0.000 0.500 0.000
Co 0.000 0.000 0.500

Calculated values
mass density	13.29	Mg/m³
raw total energy	-9.779	eV per atom
polymorph energy (0 for the lowest one)	0.000	eV/atom